{
  "formula": "MgFeMoS4",
  "functional": "PBE",
  "state": "optimized geometry",
  "lattice": [[-3.421, 3.627, 5.173], [3.421, -3.627, 5.173], [3.421, 3.627, -5.173]],
  "species": ["Mg", "Mg", "Fe", "Fe", "Mo", "Mo", "S", "S", "S", "S", "S", "S", "S", "S"],
  "frac_coords": [[0.377, 0.127, 0.250], [0.623, 0.873, 0.750], [0.000, 0.500, 0.500], [0.500, 0.500, 0.000], [0.000, 0.000, 0.500], [0.000, 0.500, 0.000], [0.216, 0.724, 0.492], [0.239, 0.274, 0.535], [0.239, 0.704, 0.965], [0.267, 0.276, 0.992], [0.733, 0.724, 0.008], [0.761, 0.296, 0.035], [0.761, 0.726, 0.465], [0.784, 0.276, 0.508]],
  "formation_energy_uncorrected_ev_per_atom": -0.572,
  "density_g_cm3": 3.94
}